A plane-wave DFT calculation with PBE-GGA was carried out for a relaxed structure of LiErZn2.

```
data_LiErZn2
_chemical_formula_sum 'Li1 Er1 Zn2'
_cell_length_a 4.741
_cell_length_b 4.741
_cell_length_c 4.741
_cell_angle_alpha 60.00
_cell_angle_beta 60.00
_cell_angle_gamma 60.00
_symmetry_space_group_name_H-M 'P 1'
_symmetry_Int_Tables_number 1
_symmetry_space_group_name_Hall 'P 1'
loop_
_atom_site_label
_atom_site_type_symbol
_atom_site_fract_x
_atom_site_fract_y
_atom_site_fract_z
Er1 Er 0.500 0.500 0.500
Zn1 Zn 0.750 0.750 0.750
Zn2 Zn 0.250 0.250 0.250
Li1 Li 0.000 0.000 0.000
```

Calculated values
Density of states at the Fermi level ... 0.595 states/eV/atom
Excess energy over the best structure of this formula in the dataset ... 0.0 meV/atom
Symmetry ... Fm-3m

---

A plane-wave DFT calculation with PBE-GGA was carried out for a relaxed structure of LiErZn4.

```
data_LiErZn4
_chemical_formula_sum 'Li2 Er2 Zn8'
_cell_length_a 4.360
_cell_length_b 6.371
_cell_length_c 8.354
_cell_angle_alpha 67.59
_cell_angle_beta 90.00
_cell_angle_gamma 90.00
_symmetry_space_group_name_H-M 'P 1'
_symmetry_Int_Tables_number 1
_symmetry_space_group_name_Hall 'P 1'
loop_
_atom_site_label
_atom_site_type_symbol
_atom_site_fract_x
_atom_site_fract_y
_atom_site_fract_z
Zn1 Zn 0.750 0.553 0.917
Zn2 Zn 0.750 0.165 0.588
Zn3 Zn 0.750 0.747 0.588
Zn4 Zn 0.250 0.835 0.412
Zn5 Zn 0.250 0.447 0.083
Zn6 Zn 0.250 0.253 0.412
Zn7 Zn 0.250 0.971 0.083
Zn8 Zn 0.750 0.029 0.917
Er1 Er 0.250 0.388 0.724
Er2 Er 0.750 0.612 0.276
Li1 Li 0.250 0.861 0.778
Li2 Li 0.750 0.139 0.222
```

Calculated values
Density of states at the Fermi level ... 0.663 states/eV/atom
Excess energy over the best structure of this formula in the dataset ... 31.0 meV/atom
Symmetry ... Cmcm

---

A plane-wave DFT calculation with PBE-GGA was carried out for a relaxed structure of LiEr3Zn2.

```
data_LiEr3Zn2
_chemical_formula_sum 'Li1 Er3 Zn2'
_cell_length_a 3.570
_cell_length_b 3.570
_cell_length_c 10.812
_cell_angle_alpha 90.00
_cell_angle_beta 90.00
_cell_angle_gamma 90.00
_symmetry_space_group_name_H-M 'P 1'
_symmetry_Int_Tables_number 1
_symmetry_space_group_name_Hall 'P 1'
loop_
_atom_site_label
_atom_site_type_symbol
_atom_site_fract_x
_atom_site_fract_y
_atom_site_fract_z
Zn1 Zn 0.500 0.500 0.836
Zn2 Zn 0.500 0.500 0.164
Er1 Er 0.000 0.000 0.000
Er2 Er 0.000 0.000 0.683
Er3 Er 0.000 0.000 0.317
Li1 Li 0.500 0.500 0.500
```

Calculated values
Density of states at the Fermi level ... 0.986 states/eV/atom
Symmetry ... P4/mmm

---

A plane-wave DFT calculation with PBE-GGA was carried out for a relaxed structure of Li2ErZn.

```
data_Li2ErZn
_chemical_formula_sum 'Li2 Er1 Zn1'
_cell_length_a 4.715
_cell_length_b 4.715
_cell_length_c 4.715
_cell_angle_alpha 60.00
_cell_angle_beta 60.00
_cell_angle_gamma 60.00
_symmetry_space_group_name_H-M 'P 1'
_symmetry_Int_Tables_number 1
_symmetry_space_group_name_Hall 'P 1'
loop_
_atom_site_label
_atom_site_type_symbol
_atom_site_fract_x
_atom_site_fract_y
_atom_site_fract_z
Li1 Li 0.750 0.750 0.750
Li2 Li 0.250 0.250 0.250
Er1 Er 0.000 0.000 0.000
Zn1 Zn 0.500 0.500 0.500
```

Calculated values
Density of states at the Fermi level ... 1.307 states/eV/atom
Excess energy over the best structure of this formula in the dataset ... 0.0 meV/atom
Symmetry ... Fm-3m

---

A plane-wave DFT calculation with PBE-GGA was carried out for a relaxed structure of Li5Er2Zn12.

```
data_Li5Er2Zn12
_chemical_formula_sum 'Li5 Er2 Zn12'
_cell_length_a 6.764
_cell_length_b 6.764
_cell_length_c 6.764
_cell_angle_alpha 83.10
_cell_angle_beta 83.10
_cell_angle_gamma 83.10
_symmetry_space_group_name_H-M 'P 1'
_symmetry_Int_Tables_number 1
_symmetry_space_group_name_Hall 'P 1'
loop_
_atom_site_label
_atom_site_type_symbol
_atom_site_fract_x
_atom_site_fract_y
_atom_site_fract_z
Zn1 Zn 0.844 0.348 0.348
Zn2 Zn 0.348 0.348 0.844
Zn3 Zn 0.701 0.299 0.000
Zn4 Zn 0.652 0.156 0.652
Zn5 Zn 0.299 0.000 0.701
Zn6 Zn 0.701 0.000 0.299
Zn7 Zn 0.299 0.701 0.000
Zn8 Zn 0.156 0.652 0.652
Zn9 Zn 0.348 0.844 0.348
Zn10 Zn 0.000 0.701 0.299
Zn11 Zn 0.000 0.299 0.701
Zn12 Zn 0.652 0.652 0.156
Er1 Er 0.347 0.347 0.347
Er2 Er 0.653 0.653 0.653
Li1 Li 0.097 0.097 0.097
Li2 Li 0.000 0.000 0.500
Li3 Li 0.903 0.903 0.903
Li4 Li 0.000 0.500 0.000
Li5 Li 0.500 0.000 0.000
```

Calculated values
Density of states at the Fermi level ... 0.466 states/eV/atom
Symmetry ... R-3m

---

A plane-wave DFT calculation with PBE-GGA was carried out for a relaxed structure of Li2ErZn.

```
data_Li2ErZn
_chemical_formula_sum 'Li2 Er1 Zn1'
_cell_length_a 3.418
_cell_length_b 3.418
_cell_length_c 6.797
_cell_angle_alpha 90.00
_cell_angle_beta 90.00
_cell_angle_gamma 90.00
_symmetry_space_group_name_H-M 'P 1'
_symmetry_Int_Tables_number 1
_symmetry_space_group_name_Hall 'P 1'
loop_
_atom_site_label
_atom_site_type_symbol
_atom_site_fract_x
_atom_site_fract_y
_atom_site_fract_z
Er1 Er 0.500 0.500 0.500
Li1 Li 0.000 0.000 0.192
Li2 Li 0.000 0.000 0.808
Zn1 Zn 0.500 0.500 0.000
```

Calculated values
Density of states at the Fermi level ... 0.684 states/eV/atom
Excess energy over the best structure of this formula in the dataset ... 7.7 meV/atom
Symmetry ... P4/mmm

---

A plane-wave DFT calculation with PBE-GGA was carried out for a relaxed structure of Li2Er3Zn7.

```
data_Li2Er3Zn7
_chemical_formula_sum 'Li2 Er3 Zn7'
_cell_length_a 5.385
_cell_length_b 5.385
_cell_length_c 9.155
_cell_angle_alpha 72.90
_cell_angle_beta 72.90
_cell_angle_gamma 60.00
_symmetry_space_group_name_H-M 'P 1'
_symmetry_Int_Tables_number 1
_symmetry_space_group_name_Hall 'P 1'
loop_
_atom_site_label
_atom_site_type_symbol
_atom_site_fract_x
_atom_site_fract_y
_atom_site_fract_z
Zn1 Zn 0.417 0.921 0.245
Zn2 Zn 0.500 0.500 0.500
Zn3 Zn 0.079 0.583 0.755
Zn4 Zn 0.921 0.417 0.245
Zn5 Zn 0.417 0.417 0.245
Zn6 Zn 0.583 0.079 0.755
Zn7 Zn 0.583 0.583 0.755
Er1 Er 0.863 0.863 0.410
Er2 Er 0.000 0.000 0.000
Er3 Er 0.137 0.137 0.590
Li1 Li 0.667 0.667 0.999
Li2 Li 0.333 0.333 0.001
```

Calculated values
Density of states at the Fermi level ... 0.726 states/eV/atom
Symmetry ... R-3m

---

A plane-wave DFT calculation with PBE-GGA was carried out for a relaxed structure of Li2ErZn2.

```
data_Li2ErZn2
_chemical_formula_sum 'Li4 Er2 Zn4'
_cell_length_a 4.437
_cell_length_b 3.473
_cell_length_c 12.989
_cell_angle_alpha 97.68
_cell_angle_beta 99.83
_cell_angle_gamma 90.00
_symmetry_space_group_name_H-M 'P 1'
_symmetry_Int_Tables_number 1
_symmetry_space_group_name_Hall 'P 1'
loop_
_atom_site_label
_atom_site_type_symbol
_atom_site_fract_x
_atom_site_fract_y
_atom_site_fract_z
Li1 Li 0.545 0.295 0.090
Li2 Li 0.056 0.806 0.112
Li3 Li 0.455 0.705 0.910
Li4 Li 0.944 0.194 0.888
Zn1 Zn 0.725 0.975 0.451
Zn2 Zn 0.377 0.127 0.753
Zn3 Zn 0.623 0.873 0.247
Zn4 Zn 0.275 0.025 0.549
Er1 Er 0.826 0.576 0.652
Er2 Er 0.174 0.424 0.348
```

Calculated values
Density of states at the Fermi level ... 0.656 states/eV/atom
Symmetry ... Imma

---

Number 1: formation energy from the elements -241 meV/atom, calculated density 6.722 g cm⁻³. Number 2: formation energy from the elements -244 meV/atom, calculated density 6.746 g cm⁻³. Number 3: formation energy from the elements -201 meV/atom, calculated density 7.706 g cm⁻³. Number 4: formation energy from the elements 17 meV/atom, calculated density 5.524 g cm⁻³. Number 5: formation energy from the elements -233 meV/atom, calculated density 6.321 g cm⁻³. Number 6: formation energy from the elements 24 meV/atom, calculated density 5.156 g cm⁻³. Number 7: formation energy from the elements -277 meV/atom, calculated density 7.476 g cm⁻³. Number 8: formation energy from the elements -188 meV/atom, calculated density 5.303 g cm⁻³.